(1)
This record from Alexandria via LeMat-Bulk describes RbZr3Cu after structural relaxation. The functional is PBE.

Values from the calculation:
SG: Pm-3m
Excess energy over the best structure of this formula in the dataset, eV per atom: 0.0000

Lattice parameters (Å, degrees): 5.1513 5.1513 5.1513 90.00 90.00 90.00
Last column: nearest neighbours and their distance in Å.
Atoms (fractional coordinates):
Rb 0.0000 0.0000 0.0000  12 Zr 3.64
Zr 0.0000 0.5000 0.5000  2 Cu 2.58
Zr 0.5000 0.0000 0.5000  2 Cu 2.58
Zr 0.5000 0.5000 0.0000  2 Cu 2.58
Cu 0.5000 0.5000 0.5000  6 Zr 2.58

---

(2)
This record from Alexandria via LeMat-Bulk describes RbZr3Cu after structural relaxation. The functional is PBE.

Values from the calculation:
SG: Pm-3m
Excess energy over the best structure of this formula in the dataset, eV per atom: 1.3467

Lattice parameters (Å, degrees): 5.0114 5.0114 5.0114 90.00 90.00 90.00
Last column: nearest neighbours and their distance in Å.
Atoms (fractional coordinates):
Rb 0.0000 0.0000 0.0000  6 Zr 2.51
Zr 0.0000 0.0000 0.5000  2 Rb 2.51
Zr 0.0000 0.5000 0.0000  2 Rb 2.51
Zr 0.5000 0.0000 0.0000  2 Rb 2.51
Cu 0.5000 0.5000 0.5000  12 Zr 3.54

---

(3)
This record from Alexandria via LeMat-Bulk describes Rb3ZrCu after structural relaxation. The functional is PBE.

Values from the calculation:
SG: Pm-3m
Excess energy over the best structure of this formula in the dataset, eV per atom: 0.0000

Lattice parameters (Å, degrees): 6.5282 6.5282 6.5282 90.00 90.00 90.00
Last column: nearest neighbours and their distance in Å.
Atoms (fractional coordinates):
Rb 0.0000 0.0000 0.5000  2 Cu 3.26
Rb 0.0000 0.5000 0.0000  2 Cu 3.26
Rb 0.5000 0.0000 0.0000  2 Cu 3.26
Zr 0.5000 0.5000 0.5000  12 Rb 4.62
Cu 0.0000 0.0000 0.0000  6 Rb 3.26

---

(4)
This record from Alexandria via LeMat-Bulk describes Cu3Re after structural relaxation. The functional is PBE.

Values from the calculation:
SG: R-3m

Lattice parameters (Å, degrees): 8.7003 8.7003 8.7003 17.52 17.52 17.52
Last column: nearest neighbours and their distance in Å.
Atoms (fractional coordinates):
Cu 0.0000 0.0000 0.0000  12 Cu 2.57-2.65
Cu 0.2531 0.2531 0.2531  9 Cu 2.57-2.65, 3 Re 2.70
Cu 0.7469 0.7469 0.7469  9 Cu 2.57-2.65, 3 Re 2.70
Re 0.5000 0.5000 0.5000  6 Re 2.65, 6 Cu 2.70

---

(5)
This record from Alexandria via LeMat-Bulk describes CuRe2 after structural relaxation. The functional is PBE.

Values from the calculation:
SG: P4/mmm
Excess energy over the best structure of this formula in the dataset, eV per atom: 1.1060

Lattice parameters (Å, degrees): 4.3093 4.3093 2.5801 90.00 90.00 90.00
Last column: nearest neighbours and their distance in Å.
Atoms (fractional coordinates):
Cu 0.0000 0.0000 0.0000  8 Re 2.51, 2 Cu 2.58
Re 0.0000 0.5000 0.5000  4 Cu 2.51, 2 Re 2.58
Re 0.5000 0.0000 0.5000  4 Cu 2.51, 2 Re 2.58

---

(6)
This record from Alexandria via LeMat-Bulk describes Cu3Re after structural relaxation. The functional is PBE.

Values from the calculation:
SG: Imm2

Lattice parameters (Å, degrees): 5.1427 5.1427 5.1427 151.88 62.51 125.42
Last column: nearest neighbours and their distance in Å.
Atoms (fractional coordinates):
Cu 0.0000 0.0000 0.0000  8 Cu 2.50-2.67, 4 Re 2.66-2.67
Cu 0.4328 0.6833 0.7495  9 Cu 2.50-2.67, 3 Re 2.65-2.68
Cu 0.9337 0.6833 0.2505  9 Cu 2.50-2.67, 3 Re 2.65-2.68
Re 0.4986 0.9986 0.5000  2 Re 2.50, 10 Cu 2.65-2.68

---

Number 1: DOS(E_F) 0.907 states/eV per atom, calculated volume 27.34 A^3/atom, energy of formation 0.901 eV/atom. Number 2: DOS(E_F) 1.195 states/eV per atom, calculated volume 25.17 A^3/atom, energy of formation 2.247 eV/atom. Number 3: DOS(E_F) 1.684 states/eV per atom, calculated volume 55.64 A^3/atom, energy of formation 1.093 eV/atom. Number 4: DOS(E_F) 0.573 states/eV per atom, calculated volume 13.03 A^3/atom, energy of formation 0.184 eV/atom. Number 5: DOS(E_F) 0.859 states/eV per atom, calculated volume 15.97 A^3/atom, energy of formation 1.240 eV/atom. Number 6: DOS(E_F) 1.086 states/eV per atom, calculated volume 12.95 A^3/atom, energy of formation 0.293 eV/atom.